# 1
# Zn4AsCl

An optimized crystal structure of Zn4AsCl (PBE-GGA, Alexandria via LeMat-Bulk).

Computed properties:
The space group is F-43m. The uncorrected formation energy comes out at 0.119 eV per atom. The value obtained for the calculated density is 5.757 g cm⁻³.

Cell lengths 5.334, 5.334, 5.334 Å; angles 60.00, 60.00, 60.00 degrees
Fractional coordinates of all 6 atoms:
Zn (0.125, 0.125, 0.125)
Zn (0.125, 0.125, 0.626)
Zn (0.125, 0.626, 0.125)
Zn (0.626, 0.125, 0.125)
As (0.750, 0.750, 0.750)
Cl (0.500, 0.500, 0.500)

# 2
# ZnAs2Cl

An optimized crystal structure of ZnAs2Cl (PBE-GGA, Alexandria via LeMat-Bulk).

Computed properties:
The space group is Fm-3m. The uncorrected formation energy comes out at 0.400 eV per atom. The energy above the lowest structure with this stoichiometry is 672.8 meV/atom. The value obtained for the calculated density is 5.513 g cm⁻³.

Cell lengths 4.744, 4.744, 4.744 Å; angles 60.00, 60.00, 60.00 degrees
Fractional coordinates of all 4 atoms:
Zn (0.000, 0.000, 0.000)
As (0.250, 0.250, 0.250)
As (0.750, 0.750, 0.750)
Cl (0.500, 0.500, 0.500)

# 3
# Zn2AsCl

An optimized crystal structure of Zn2AsCl (PBE-GGA, Alexandria via LeMat-Bulk).

Computed properties:
The space group is C2/m. The uncorrected formation energy comes out at 0.190 eV per atom. The energy above the lowest structure with this stoichiometry is 671.8 meV/atom. The value obtained for the calculated density is 5.128 g cm⁻³.

Cell lengths 6.442, 6.442, 4.687 Å; angles 110.66, 110.66, 25.51 degrees
Fractional coordinates of all 4 atoms:
Zn (0.215, 0.215, 0.217)
Zn (0.785, 0.785, 0.783)
As (0.500, 0.500, 0.000)
Cl (0.000, 0.000, 0.500)

# 4
# Zn2AsCl

An optimized crystal structure of Zn2AsCl (PBE-GGA, Alexandria via LeMat-Bulk).

Computed properties:
The space group is P4mm. The uncorrected formation energy comes out at 0.030 eV per atom. The energy above the lowest structure with this stoichiometry is 511.4 meV/atom. The value obtained for the calculated density is 4.924 g cm⁻³.

Cell lengths 2.987, 2.987, 9.117 Å; angles 90.00, 90.00, 90.00 degrees
Fractional coordinates of all 4 atoms:
Zn (0.000, 0.000, 0.000)
Zn (0.500, 0.500, 0.214)
As (0.000, 0.000, 0.430)
Cl (0.500, 0.500, 0.832)

# 5
# Zn2AsCl

An optimized crystal structure of Zn2AsCl (PBE-GGA, Alexandria via LeMat-Bulk).

Computed properties:
The space group is Pmmm. The uncorrected formation energy comes out at 0.223 eV per atom. The energy above the lowest structure with this stoichiometry is 704.1 meV/atom. The value obtained for the calculated density is 5.309 g cm⁻³.

Cell lengths 2.937, 4.734, 5.427 Å; angles 90.00, 90.00, 90.00 degrees
Fractional coordinates of all 4 atoms:
Zn (0.000, 0.000, 0.000)
Zn (0.500, 0.500, 0.000)
As (0.000, 0.500, 0.500)
Cl (0.500, 0.000, 0.500)

# 6
# ZnAs2Cl

An optimized crystal structure of ZnAs2Cl (PBE-GGA, Alexandria via LeMat-Bulk).

Computed properties:
The space group is Pmmm. The uncorrected formation energy comes out at 0.248 eV per atom. The energy above the lowest structure with this stoichiometry is 520.9 meV/atom. The value obtained for the calculated density is 5.463 g cm⁻³.

Cell lengths 3.070, 4.843, 5.126 Å; angles 90.00, 90.00, 90.00 degrees
Fractional coordinates of all 4 atoms:
Zn (0.000, 0.000, 0.000)
As (0.000, 0.500, 0.500)
As (0.500, 0.500, 0.000)
Cl (0.500, 0.000, 0.500)

- What is the formula in the second record?
  ZnAs2Cl